DFT (GGA+U) results for a geometry-optimized KCr2SeO8 structure.

Lattice parameters (Å, degrees): 5.162 5.166 7.985 85.36 85.47 65.86
Fractional positions:
K1 0.000 0.000 0.000
Cr1 0.375 0.376 0.292
Cr2 0.625 0.624 0.708
Se1 0.000 0.000 0.500
O1 0.222 0.229 0.452
O2 0.235 0.738 0.315
O3 0.262 0.773 0.687
O4 0.303 0.313 0.110
O5 0.697 0.687 0.890
O6 0.738 0.227 0.313
O7 0.765 0.262 0.685
O8 0.778 0.771 0.548

## Properties
- total energy (eV per formula unit) = -72.7